[1]
Computed, not measured: a relaxed structure of SrLiIr2 at the PBE level of DFT.

```
4
Lattice="4.846 -0.008 -0.012 3.880 2.904 -0.012 1.087 0.361 5.447" Properties=species:S:1:pos:R:3 pbc="T T T"
Li 5.053 1.677 2.364
Ir 2.399 0.796 1.165
Ir 8.707 2.890 0.569
Sr 7.286 2.418 4.014
```

Summary:
ΔE_f   0.08 eV per atom
Total magnetic moment   0.000 μB/atom
Symmetry   Cm, No. 8
Energy   -5.245 eV/atom
Crystal system   monoclinic

---

[2]
Computed, not measured: a relaxed structure of GaC2O at the PBE level of DFT.

```
8
Lattice="-3.900 1.694 0.918 -1.065 -3.623 2.159 -0.825 0.802 5.320" Properties=species:S:1:pos:R:3 pbc="T T T"
Ga 0.000 0.000 0.000
Ga -3.604 0.765 3.889
C -2.637 0.745 2.141
C -4.925 -0.956 6.605
C -2.519 -0.253 5.222
C -1.500 -1.791 2.827
O -2.482 -0.965 1.539
O -2.186 -1.893 4.509
```

Summary:
Energy relative to the elements, uncorrected   1.600 eV per atom
Total magnetic moment   0.223 μB/atom
Symmetry   I-42d, No. 122
Energy   -5.008 eV/atom
Crystal system   tetragonal

---

[3]
Computed, not measured: a relaxed structure of Tb3Pd5Se12 at the PBE level of DFT.

```
80
Lattice="13.647 0.000 0.000 -4.549 12.867 0.000 -4.549 -6.433 11.143" Properties=species:S:1:pos:R:3 pbc="T T T"
Se 2.460 -2.148 6.565
Se 10.102 2.915 3.249
Se -1.270 4.573 9.721
Se 5.120 -1.667 10.243
Se -2.460 2.890 6.993
Se -0.571 4.820 0.994
Se 5.168 5.587 8.821
Se -1.004 7.488 4.671
Se 9.284 -2.890 6.993
Se -1.655 -0.783 5.143
Se 7.009 11.472 0.428
Se 2.894 1.629 3.677
Se -2.460 -5.038 10.715
Se 0.619 8.062 7.465
Se 0.186 4.285 4.577
Se 3.279 5.378 4.671
Se 6.204 7.216 5.999
Se -5.553 3.518 7.893
Se 1.703 1.667 10.243
Se 8.479 0.783 5.143
Se -1.270 -3.518 7.893
Se 2.089 8.582 4.577
Se 3.930 -1.629 3.677
Se 8.094 -4.573 9.721
Se 2.846 8.046 0.994
Se 1.703 -1.613 10.149
Se 2.846 4.766 0.900
Se 5.553 -1.055 6.471
Se -5.120 -0.054 9.249
Se 8.912 1.395 0.428
Se 7.443 -0.846 2.322
Se 5.120 1.613 10.149
Se -3.545 11.006 1.422
Se -0.619 0.846 2.322
Se 9.669 6.488 1.894
Se -4.363 5.038 10.715
Se 5.819 1.860 1.422
Se -3.930 5.651 5.999
Se 7.009 3.543 4.149
Se 4.363 2.148 6.565
Se 5.819 9.951 3.249
Se -1.703 0.054 9.249
Se -2.894 7.280 8.821
Se -4.735 9.323 4.149
Se 6.252 6.379 1.894
Se 1.655 4.804 7.465
Se -0.571 8.101 0.900
Se 1.270 1.055 6.471
Tb -5.686 6.433 8.357
Tb 5.686 0.804 4.179
Tb 3.412 0.000 8.357
Tb -3.412 2.412 9.750
Tb -1.137 5.629 6.964
Tb 3.412 7.237 6.964
Tb 1.137 6.433 2.786
Tb -3.412 -2.412 9.750
Tb 7.961 4.021 1.393
Tb 10.235 0.000 2.786
Tb 7.961 8.846 1.393
Tb 1.137 -0.804 4.179
Pd 5.686 5.629 4.179
Pd 4.549 6.433 0.000
Pd -2.275 6.433 0.000
Pd 3.412 9.650 2.786
Pd 7.961 -0.804 6.964
Pd -3.412 7.237 4.179
Pd -1.137 10.454 1.393
Pd -2.275 -3.217 5.571
Pd 1.137 4.021 9.750
Pd 5.686 -4.021 9.750
Pd 6.824 0.000 0.000
Pd 2.275 3.217 5.571
Pd -1.137 3.217 2.786
Pd 1.137 -3.217 8.357
Pd 3.412 2.412 1.393
Pd 4.549 -3.217 5.571
Pd -1.137 0.804 6.964
Pd 0.000 0.000 0.000
Pd 5.686 3.217 8.357
Pd -4.549 3.217 5.571
```

Summary:
Energy relative to the elements, uncorrected   -0.722 eV per atom
Total magnetic moment   0.000 μB/atom
Symmetry   Ia-3d, No. 230
Energy   -4.806 eV/atom
Crystal system   cubic